This record from Alexandria describes Y5Er4Cd after structural relaxation. The functional is PBE.

SG = P4/mmm (123)
Calculated formation energy = -0.044 eV/atom

Geometry as POSCAR:
```
Y5Er4Cd
1.0
-0.5658 0.6772 3.4411
-3.5009 -0.3158 -0.5135
1.4146 -23.6244 4.8821
Y Er Cd
5 4 1
Cartesian
-1.9107 -1.8668 1.8869 Y
-1.6187 -6.7433 2.8947 Y
-1.3260 -11.6314 3.9049 Y
-1.0333 -16.5196 4.9151 Y
-0.7413 -21.3961 5.9228 Y
0.2689 -4.4907 0.9280 Er
0.5611 -9.3708 1.9366 Er
0.8535 -14.2535 2.9456 Er
1.1457 -19.1337 3.9541 Er
0.0000 0.0000 0.0000 Cd
```

***

This record from Alexandria describes Rb3Ti5O12 after structural relaxation. The functional is PBE.

SG = Ia-3d (230)
Raw total energy = -152.71 eV per formula unit

Geometry as POSCAR:
```
Rb3Ti5O12
1.0
11.4904 0.0000 0.0000
-3.8301 10.8333 0.0000
-3.8301 -5.4166 9.3819
Rb Ti O
12 20 48
Cartesian
6.7027 3.3854 1.1727 Rb
6.7027 7.4479 1.1727 Rb
-0.9575 4.7395 5.8637 Rb
0.9575 -0.6771 3.5182 Rb
8.6178 0.0000 2.3455 Rb
0.9575 5.4166 2.3455 Rb
2.8726 0.0000 7.0364 Rb
-4.7877 5.4166 7.0364 Rb
2.8726 6.0937 5.8637 Rb
4.7877 0.6771 3.5182 Rb
-2.8726 -2.0312 8.2091 Rb
-2.8726 2.0312 8.2091 Rb
-0.9575 2.7083 2.3455 Ti
-1.9151 5.4166 0.0000 Ti
0.0000 0.0000 0.0000 Ti
2.8726 2.0312 1.1727 Ti
3.8301 -2.7083 4.6909 Ti
3.8301 5.4166 0.0000 Ti
-2.8726 6.0937 3.5182 Ti
4.7877 -3.3854 8.2091 Ti
4.7877 4.7395 3.5182 Ti
0.9575 -2.7083 7.0364 Ti
2.8726 8.1249 2.3455 Ti
1.9151 2.7083 4.6909 Ti
5.7452 0.0000 0.0000 Ti
-1.9151 -2.7083 4.6909 Ti
-0.9575 0.6771 5.8637 Ti
-0.9575 8.8020 1.1727 Ti
-3.8301 2.7083 4.6909 Ti
6.7027 -0.6771 5.8637 Ti
0.9575 3.3854 8.2091 Ti
4.7877 2.7083 7.0364 Ti
3.5801 -4.2850 9.2899 O
0.2500 3.1945 3.6649 O
-2.6665 2.5767 3.0508 O
4.5816 1.3547 0.9340 O
1.4031 3.6022 6.4231 O
-2.9284 5.6013 1.7322 O
-1.1636 6.6387 3.9848 O
-2.6665 9.4786 0.9340 O
4.3421 -3.6022 6.4231 O
4.8435 5.2319 1.7322 O
5.9952 3.3538 3.7569 O
2.1651 4.2850 9.2899 O
-3.3182 4.6554 4.5989 O
2.8168 3.8241 0.7061 O
-4.0802 7.4794 3.7569 O
2.1651 -2.2222 5.7170 O
-0.5119 1.0532 1.6402 O
2.8168 6.8244 1.0261 O
4.5816 8.2565 3.0508 O
-0.9017 4.0089 1.0261 O
1.4031 -4.3634 7.7417 O
3.0787 4.1945 3.9848 O
5.2333 6.1779 4.5989 O
4.7318 -1.5925 8.6757 O
0.7514 1.2221 5.3971 O
-1.4031 -0.7613 4.7829 O
-0.9017 7.0091 0.7061 O
-0.7515 -2.8399 6.3311 O
2.4270 9.7801 1.6402 O
4.7318 1.4078 8.3558 O
1.0134 -1.4078 8.3558 O
1.6650 7.6388 3.6649 O
4.3421 4.3634 7.7417 O
7.9103 -2.0628 5.6250 O
7.1483 0.7613 4.7829 O
1.6650 1.1317 0.0920 O
1.0134 1.5925 8.6757 O
-0.5119 9.0188 2.9587 O
-1.0134 0.1847 7.6497 O
-2.1651 2.0628 5.6250 O
6.4967 -4.0620 8.4478 O
4.9937 -1.2221 5.3971 O
-0.7515 4.0620 8.4478 O
6.7586 -0.1847 7.6497 O
2.4270 1.8145 2.9587 O
6.4967 2.8399 6.3311 O
3.5801 2.2222 5.7170 O
0.2500 9.7016 0.0920 O
```

***

This record from Alexandria describes CsTa6S12 after structural relaxation. The functional is PBE.

SG = R-3m (166)
Raw total energy = -133.57 eV per formula unit

Geometry as POSCAR:
```
CsTa6S12
1.0
-3.8801 6.0974 2.1788
-5.2114 -5.4259 -0.6176
4.0267 -1.9413 6.0825
Cs Ta S
1 6 12
Cartesian
0.0000 0.0000 0.0000 Cs
-2.7531 2.0293 2.7405 Ta
0.2883 -1.0628 4.2421 Ta
-3.2652 -2.4031 1.6649 Ta
-5.3531 -0.2070 3.4015 Ta
-2.3117 -3.2991 4.9031 Ta
-1.7996 1.1333 5.9788 Ta
-2.0345 3.6748 4.8677 S
-3.8406 1.0326 4.7584 S
-1.6090 -1.2362 5.8602 S
-0.8484 0.9499 3.6746 S
-3.4558 -0.0335 1.7835 S
-1.2242 -2.3024 2.8853 S
0.4248 -3.6414 5.2818 S
-5.9875 -1.9381 1.3159 S
-3.0303 -4.9446 2.7760 S
-5.4896 2.3716 2.3618 S
0.9227 0.6683 6.3277 S
-4.2164 -2.2197 3.9691 S
```

***

This record from Alexandria describes AcHoSnPt after structural relaxation. The functional is PBE.

SG = F-43m (216)
Calculated formation energy = -0.733 eV/atom

Geometry as POSCAR:
```
AcHoSnPt
1.0
5.3788 0.0000 0.0000
2.6894 4.6581 0.0000
2.6894 1.5527 4.3917
Ac Ho Pt Sn
1 1 1 1
Cartesian
5.3788 3.1054 2.1959 Ac
0.0000 0.0000 0.0000 Ho
8.0681 4.6581 3.2938 Pt
2.6894 1.5527 1.0979 Sn
```

***

This record from Alexandria describes PmScIrO6 after structural relaxation. The functional is PBE.

SG = P-31c (163)
Raw total energy = -68.43 eV per formula unit

Geometry as POSCAR:
```
PmScIrO6
1.0
5.4963 0.0000 0.0000
-2.7481 4.7599 0.0000
0.0000 0.0000 8.8267
Pm Sc Ir O
2 2 2 12
Cartesian
0.0000 3.1733 2.2067 Pm
2.7481 1.5866 6.6200 Pm
0.0000 0.0000 0.0000 Sc
0.0000 0.0000 4.4134 Sc
2.7481 1.5866 2.2067 Ir
0.0000 3.1733 6.6200 Ir
2.0585 3.0430 1.0907 O
4.3542 1.4557 1.0907 O
-0.9164 4.4987 5.5040 O
-1.6061 3.3042 7.7361 O
1.1421 1.4557 3.3227 O
3.4378 3.0430 3.3227 O
0.9164 4.4987 7.7361 O
3.6645 0.2612 3.3227 O
-0.6896 1.7169 5.5040 O
1.8317 0.2612 1.0907 O
1.6061 3.3042 5.5040 O
0.6896 1.7169 7.7361 O
```

***

This record from Alexandria describes Ba2Os after structural relaxation. The functional is PBE.

SG = I4/mcm (140)
Calculated formation energy = 0.616 eV/atom
Energy above the most stable polymorph in this dataset = 395.2 meV/atom

Geometry as POSCAR:
```
Ba2Os
1.0
2.2600 6.3058 0.3537
-5.5647 -3.1627 2.0066
4.3342 -2.8379 4.2610
Ba Os
4 2
Cartesian
2.0095 0.1759 2.5794 Ba
-0.9801 0.1293 4.0420 Ba
0.2674 -3.4171 4.9246 Ba
0.7621 3.7223 1.6968 Ba
-0.8262 0.7858 0.5901 Os
-2.4786 2.3573 1.7703 Os
```

***

This record from Alexandria describes Pr2Sm9Ho after structural relaxation. The functional is PBE.

SG = P4/mmm (123)
Calculated formation energy = 0.018 eV/atom
Energy above the most stable polymorph in this dataset = 0.0 meV/atom

Geometry as POSCAR:
```
Pr2Sm9Ho
1.0
-2.2751 4.5639 -0.6047
-3.9931 -1.6205 2.7929
6.8762 5.1244 12.8046
Pr Sm Ho
2 9 1
Cartesian
2.2824 1.7009 4.2502 Pr
4.5938 3.4235 8.5544 Pr
-3.1341 1.4717 1.0941 Sm
-0.8523 3.1721 5.3430 Sm
1.4604 4.8957 9.6497 Sm
-0.0091 3.1229 1.7989 Sm
2.3006 4.8441 6.0999 Sm
4.6103 6.5654 10.4010 Sm
-0.8682 0.0307 3.4977 Sm
1.4416 1.7519 7.7987 Sm
3.7513 3.4732 12.0998 Sm
0.0000 0.0000 0.0000 Ho
```

***

This record from Alexandria describes TlAsF2 after structural relaxation. The functional is PBE.

SG = I-42d (122)
Energy above the most stable polymorph in this dataset = 258.6 meV/atom

Geometry as POSCAR:
```
TlAsF2
1.0
-2.4242 5.7125 5.7177
-7.1848 3.2897 2.9596
4.6838 -6.6512 -2.2416
Tl As F
2 2 4
Cartesian
-1.2725 1.7812 3.9074 Tl
0.0000 0.0000 0.0000 Tl
-3.6527 0.5698 2.5283 As
-4.8045 4.5011 4.3386 As
2.1086 -2.6024 1.4526 F
-4.6315 2.7028 2.8137 F
-5.8866 4.7923 6.4203 F
-1.4408 -0.1908 2.1846 F
```